1.
# CePuRh6 PBE-GGA optimized geometry
# Energy relative to the elements, eV/atom: -0.514
# Total energy, eV per atom: -8.561
# Size of the total moment, μB/f.u.: 3.13
data_CePuRh6
_cell_length_a 4.054
_cell_length_b 4.054
_cell_length_c 8.096
_cell_angle_alpha 90.00
_cell_angle_beta 90.00
_cell_angle_gamma 90.00
_space_group_name_H-M_alt 'P 4/m m m'
_space_group_IT_number 123
_space_group_name_Hall '-P 4 2'
loop_
_atom_site_label
_atom_site_fract_x
_atom_site_fract_y
_atom_site_fract_z
Ce1 0.000 0.000 0.000
Pu1 0.000 0.000 0.500
Rh1 0.000 0.500 0.256
Rh2 0.500 0.500 0.000
Rh3 0.500 0.500 0.500

***

2.
# Rb2Tc2Bi PBE-GGA optimized geometry
# Energy above the most stable polymorph in this dataset, kJ per mole of atoms: 0.00
# Energy relative to the elements, eV/atom: 1.123
# Total energy, eV per atom: -4.187
# Size of the total moment, μB/f.u.: 0.74
data_Rb2Tc2Bi
_cell_length_a 10.362
_cell_length_b 10.362
_cell_length_c 3.066
_cell_angle_alpha 90.00
_cell_angle_beta 90.00
_cell_angle_gamma 90.00
_space_group_name_H-M_alt 'P 4/m b m'
_space_group_IT_number 127
_space_group_name_Hall '-P 4 2ab'
loop_
_atom_site_label
_atom_site_fract_x
_atom_site_fract_y
_atom_site_fract_z
Rb1 0.210 0.290 0.000
Tc1 0.071 0.571 0.500
Bi1 0.000 0.000 0.500

***

3.
# MnBeSb2 PBE-GGA optimized geometry
# Formation energy without anion corrections, eV per atom: 0.154
# Total energy, eV per atom: -5.131
# Size of the total moment, μB/f.u.: 2.19
data_MnBeSb2
_cell_length_a 3.8635
_cell_length_b 3.8635
_cell_length_c 18.4419
_cell_angle_alpha 90.00
_cell_angle_beta 90.00
_cell_angle_gamma 120.00
_space_group_name_H-M_alt 'R 3 m'
_space_group_IT_number 160
_space_group_name_Hall 'R 3 -2"'
loop_
_atom_site_label
_atom_site_fract_x
_atom_site_fract_y
_atom_site_fract_z
Mn1 0.0000 0.0000 0.0000
Be1 0.0000 0.0000 0.6879
Sb1 0.0000 0.0000 0.2504
Sb2 0.0000 0.0000 0.4280